a | Density functional theory data (PBE-GGA) for a geometry-optimized TbTm3Ru structure.

extended XYZ file:
```
10
Lattice="5.7872 -4.2164 0.0000 5.7872 4.2164 0.0000 -5.3953 0.0000 5.8151" Properties=species:S:1:pos:R:3 pbc="T T T"
Tb -1.2358 0.0000 1.9954
Tb 7.4148 0.0000 3.8197
Tm 1.8087 1.6595 1.2018
Tm 1.1503 0.0000 4.3154
Tm 1.8087 -1.6595 1.2018
Tm 4.3704 1.6595 4.6133
Tm 5.0288 0.0000 1.4998
Tm 4.3704 -1.6595 4.6133
Ru -1.8466 0.0000 5.1263
Ru 8.0257 0.0000 0.6888
```

---

b | Density functional theory data (PBE-GGA) for a geometry-optimized TbTm3Ru structure.

extended XYZ file:
```
5
Lattice="5.3165 0.0000 0.0000 0.0000 5.3165 0.0000 0.0000 0.0000 5.3165" Properties=species:S:1:pos:R:3 pbc="T T T"
Tb 0.0000 0.0000 0.0000
Tm 0.0000 2.6583 2.6583
Tm 2.6583 0.0000 2.6583
Tm 2.6583 2.6583 0.0000
Ru 2.6583 2.6583 2.6583
```

---

Name the most stable of them. a.

---

a | Density functional theory data (PBE-GGA) for a geometry-optimized Tb3TmRu2 structure.

extended XYZ file:
```
12
Lattice="4.7860 -4.7949 0.0000 4.7860 4.7949 0.0000 0.0000 0.0000 6.3394" Properties=species:S:1:pos:R:3 pbc="T T T"
Tb 3.0436 2.4034 1.5849
Tb 4.7860 4.1302 4.7546
Tb 6.5284 2.4034 1.5849
Tb 3.0436 -2.4034 4.7546
Tb 4.7860 -4.1302 1.5849
Tb 6.5284 -2.4034 4.7546
Tm 4.7860 0.6372 4.7546
Tm 4.7860 -0.6372 1.5849
Ru 2.4227 0.0000 0.0000
Ru 2.4227 0.0000 3.1697
Ru 7.1493 0.0000 0.0000
Ru 7.1493 0.0000 3.1697
```

---

b | Density functional theory data (PBE-GGA) for a geometry-optimized Tb3TmRu2 structure.

extended XYZ file:
```
12
Lattice="-3.3503 6.7413 3.5208 3.3503 -6.7413 3.5208 3.3503 6.7413 -3.5208" Properties=species:S:1:pos:R:3 pbc="T T T"
Tb 3.3503 -3.1471 1.7604
Tb 0.0000 0.0000 1.7604
Tb 3.3503 3.1471 1.7604
Tb 0.0000 3.5941 1.7604
Tb 0.0000 0.0000 5.2812
Tb 0.0000 9.8884 1.7604
Tm 3.3503 0.0000 0.0000
Tm 0.0000 6.7413 0.0000
Ru 1.4881 1.8115 0.0000
Ru 1.4881 -1.8115 3.5208
Ru 1.8622 8.5527 0.0000
Ru 1.8622 4.9298 3.5208
```

---

Name the most stable of them. a.

---

a | Density functional theory data (PBE-GGA) for a geometry-optimized Tb3URu4 structure.

extended XYZ file:
```
8
Lattice="-3.4005 3.4005 3.4005 3.4005 -3.4005 3.4005 3.4005 3.4005 -3.4005" Properties=species:S:1:pos:R:3 pbc="T T T"
Tb 3.4005 0.0000 0.0000
Tb 0.0000 3.4005 0.0000
Tb 0.0000 0.0000 3.4005
U 0.0000 0.0000 0.0000
Ru 1.7002 1.7002 -1.7002
Ru 1.7002 -1.7002 1.7002
Ru -1.7002 1.7002 1.7002
Ru 1.7002 1.7002 1.7002
```

---

b | Density functional theory data (PBE-GGA) for a geometry-optimized Tb3URu4 structure.

extended XYZ file:
```
8
Lattice="-2.9400 4.8165 3.0329 2.9400 -4.8165 3.0329 2.9400 4.8165 -3.0329" Properties=species:S:1:pos:R:3 pbc="T T T"
Tb 0.0000 0.0000 0.0000
Tb 2.9400 2.2536 0.9017
Tb 0.0000 2.5629 3.9346
U 0.0000 4.8165 1.3729
Ru 1.5263 4.8165 -0.6026
Ru 1.4137 0.0000 2.4303
Ru 0.0000 2.5149 0.9711
Ru 0.0000 7.1181 0.9711
```

---

Name the most stable of them. a.

---

a | Density functional theory data (PBE-GGA) for a geometry-optimized TbURu3 structure.

extended XYZ file:
```
10
Lattice="3.0145 -5.8822 0.0000 3.0145 5.8822 0.0000 0.0000 0.0000 5.4415" Properties=species:S:1:pos:R:3 pbc="T T T"
Tb 3.0145 4.8497 4.0811
Tb 3.0145 -4.8497 1.3604
U 3.0145 2.3015 1.3604
U 3.0145 -2.3015 4.0811
Ru 1.6137 1.8909 4.0811
Ru 1.6137 -1.8909 1.3604
Ru 3.0145 0.0000 0.0000
Ru 3.0145 0.0000 2.7207
Ru 4.4152 1.8909 4.0811
Ru 4.4152 -1.8909 1.3604
```

---

b | Density functional theory data (PBE-GGA) for a geometry-optimized TbURu3 structure.

extended XYZ file:
```
10
Lattice="5.6179 0.0000 0.0000 -2.7497 4.8990 0.0000 -1.4655 -2.4311 6.7573" Properties=species:S:1:pos:R:3 pbc="T T T"
Tb 0.0000 0.0000 0.0000
Tb 0.0015 3.2883 1.0286
U 0.6997 2.8590 3.8917
U 2.8113 1.6444 0.4988
Ru -2.7877 3.3887 2.7531
Ru -1.4482 2.3642 5.0337
Ru 0.0486 -0.0307 5.3974
Ru 1.2993 0.7515 2.7515
Ru 2.8483 0.0857 5.0322
Ru 4.0864 0.8949 2.3724
```

---

Name the most stable of them. a.